Run i
4
Lattice="4.5427 0.0000 0.0000 0.0000 4.8123 0.0000 0.0000 0.0000 4.8123" Properties=species:S:1:pos:R:3 comment="PBE CePm2Ge, relaxed" spacegroup="P4/mmm (123)" pbc="T T T"
Pm 0.0000 0.0000 2.4062
Pm 0.0000 2.4062 0.0000
Ge 2.2713 0.0000 0.0000
Ce 2.2713 2.4062 2.4062

Run ii
4
Lattice="-2.4377 -3.0244 0.2993 2.8704 -2.4173 -1.0471 1.8065 -0.7863 6.7671" Properties=species:S:1:pos:R:3 comment="PBE CePm2Ge, relaxed" spacegroup="P4/mmm (123)" pbc="T T T"
Ge 0.2164 -2.7208 -0.3739
Pm 0.3886 -0.1691 1.4556
Pm 1.4179 -0.6172 5.3115
Ce 1.1196 -3.1140 3.0096

Run iii
4
Lattice="3.5548 0.0000 0.0000 1.7774 3.0785 0.0000 1.7774 1.0262 11.0348" Properties=species:S:1:pos:R:3 comment="PBE CePm2Ge, relaxed" spacegroup="R-3m (166)" pbc="T T T"
Ge 3.5548 2.0524 5.5174
Pm 1.7774 1.0262 7.6793
Pm 5.3322 3.0785 3.3555
Ce 0.0000 0.0000 0.0000

Tell me which of them is the least stable. Sure, it is run iii.

Run i
8
Lattice="4.1033 -0.1767 0.0000 -1.7975 6.0883 0.0000 0.0000 0.0000 9.4978" Properties=species:S:1:pos:R:3 comment="PBE CePm2Ge, relaxed" spacegroup="Cmcm (63)" pbc="T T T"
Ge 2.1753 2.8678 2.3745
Ge 0.1305 3.0439 7.1234
Pm 0.0695 1.6911 4.2699
Pm 0.0695 1.6911 0.4790
Pm 2.2363 4.2206 5.2279
Pm 2.2363 4.2206 9.0189
Ce 2.0863 0.7073 7.1234
Ce 0.2195 5.2043 2.3745

Run ii
4
Lattice="3.8251 0.0000 0.0000 1.9125 3.3126 0.0000 1.9125 1.1042 9.8786" Properties=species:S:1:pos:R:3 comment="PBE CePm2Ge, relaxed" spacegroup="R3m (160)" pbc="T T T"
Ce 3.8251 2.2084 4.9271
Pm 1.9125 1.1042 1.9617
Pm 1.9125 1.1042 7.9213
Ge 3.8251 2.2084 0.0078

Tell me which of them is the least stable. Sure, it is run ii.

Run i
4
Lattice="-3.1244 2.2438 -2.0353 -3.8153 -1.8965 -0.8865 -4.8950 2.3206 5.4199" Properties=species:S:1:pos:R:3 comment="PBE CePmGeTe, relaxed" spacegroup="R3m (160)" pbc="T T T"
Pm -5.8556 1.2812 1.0962
Ce -7.0067 0.4045 -2.7558
Te -8.8802 2.0045 1.8839
Ge -2.9491 0.6588 0.6009

Run ii
4
Lattice="5.3231 0.0000 0.0000 2.6616 4.6100 0.0000 2.6616 1.5367 4.3463" Properties=species:S:1:pos:R:3 comment="PBE CePmGeTe, relaxed" spacegroup="F-43m (216)" pbc="T T T"
Ce 5.3231 3.0733 2.1732
Pm 0.0000 0.0000 0.0000
Ge 2.6616 1.5367 1.0866
Te 7.9847 4.6100 3.2597

Tell me which of them is the least stable. Sure, it is run ii.

Run i
10
Lattice="7.6924 0.8264 0.9471 -1.8322 7.5166 0.9471 -2.3524 -3.3491 4.1387" Properties=species:S:1:pos:R:3 comment="PBE Ce2PrGe2, relaxed" spacegroup="Imma (74)" pbc="T T T"
Ce 2.0075 5.5213 1.5145
Ce -1.4256 5.4320 3.5838
Ce 1.5003 -0.5274 4.5184
Ce 4.9334 -0.4381 2.4490
Pr -0.2834 2.0635 1.5082
Pr 3.7912 2.9304 4.5246
Ge 2.1865 0.3286 1.5082
Ge 1.3213 4.6653 4.5246
Ge 4.8353 4.6977 2.4553
Ge -1.3275 0.2962 3.5775

Run ii
10
Lattice="4.2250 0.0000 0.0000 0.0000 7.8844 0.0000 0.0000 0.0000 7.8844" Properties=species:S:1:pos:R:3 comment="PBE Ce2PrGe2, relaxed" spacegroup="P4/mbm (127)" pbc="T T T"
Ge 0.0000 4.8989 0.9567
Ge 0.0000 0.9567 2.9855
Ge 0.0000 2.9855 6.9277
Ge 0.0000 6.9277 4.8989
Ce 2.1125 2.5679 1.3743
Ce 2.1125 6.5101 2.5679
Ce 2.1125 5.3165 6.5101
Ce 2.1125 1.3743 5.3165
Pr 0.0000 3.9422 3.9422
Pr 0.0000 0.0000 0.0000

Tell me which of them is the least stable. Sure, it is run i.

Run i
18
Lattice="-1.9770 4.8461 -4.5308 0.0856 -5.7711 -6.2101 -6.9542 -4.2117 3.8181" Properties=species:S:1:pos:R:3 comment="PBE Ce3Pr2Ge4, relaxed" spacegroup="Cmce (64)" pbc="T T T"
Pr -2.5998 -3.2472 -7.6272
Pr -1.6398 -3.7474 -3.2927
Pr -6.2459 -1.8894 0.7045
Pr -7.2059 -1.3893 -3.6301
Ce 0.0000 0.0000 0.0000
Ce -3.7625 -0.9720 -2.0421
Ce -4.0947 -6.5877 -2.6153
Ce -4.7510 1.4510 -4.3075
Ce -5.0832 -4.1646 -4.8806
Ce -0.9457 -0.4625 -5.3704
Ge -4.9818 -3.7046 -1.7886
Ge -2.8418 -6.1178 -5.3036
Ge -0.9801 -0.3455 -2.5861
Ge -7.8656 -4.7912 -4.3367
Ge -6.0038 0.9812 -1.6191
Ge -1.9686 2.0776 -4.8514
Ge -3.8639 -1.4321 -5.1342
Ge -6.8771 -7.2142 -2.0713

Run ii
18
Lattice="-2.7426 2.8274 -6.8359 7.5003 -2.9314 -0.6796 -2.9779 -7.2054 -1.7855" Properties=species:S:1:pos:R:3 comment="PBE Ce3Pr2Ge4, relaxed" spacegroup="P2_1/c (14)" pbc="T T T"
Pr 0.9843 -5.6033 -8.3877
Pr 0.7955 -1.7061 -0.9133
Pr -0.9890 -1.2922 -4.5790
Pr 2.7688 -6.0172 -4.7220
Ce 4.4549 -2.6259 -2.7476
Ce 2.2612 -5.0684 -1.2325
Ce 2.5778 -2.4361 -6.4689
Ce -2.6751 -4.6835 -6.5534
Ce -0.7980 -4.8733 -2.8321
Ce 2.3789 -0.0520 -3.7577
Ge 1.5760 -3.0861 -3.5940
Ge 0.9464 0.1222 -6.5672
Ge -3.1115 -6.2768 -3.9932
Ge 4.9926 -5.5193 -2.6513
Ge 0.2038 -4.2233 -5.7070
Ge -3.2128 -1.7901 -6.6497
Ge 0.8334 -7.4317 -2.7338
Ge 4.8913 -1.0327 -5.3078

Tell me which of them is the least stable. Sure, it is run i.

Run i
12
Lattice="-4.1614 1.2636 2.9229 -3.6239 -0.5679 -4.9138 0.6355 -10.4936 0.7442" Properties=species:S:1:pos:R:3 comment="PBE Ce4GePt, relaxed" spacegroup="Cmcm (63)" pbc="T T T"
Ce -4.6942 -3.9353 -0.2850
Ce -2.9791 -5.9449 -1.6715
Ce -4.3921 -7.3555 1.6235
Ce -4.2550 -9.1696 -2.0939
Ce -0.9996 -5.6344 1.0127
Ce -3.4183 -0.7104 0.1373
Ce -3.0498 -3.6774 1.9446
Ce -3.2812 -2.5245 -3.5801
Pt -2.3698 -8.3859 0.2513
Pt -5.3034 -1.4940 -2.2078
Ge -6.0637 -6.6809 -1.0479
Ge -1.6099 -3.1991 -0.9090

Run ii
12
Lattice="-0.8468 -4.0896 -3.8806 7.0675 -0.9008 -0.5929 -0.1879 -4.8989 5.2037" Properties=species:S:1:pos:R:3 comment="PBE Ce4GePt, relaxed" spacegroup="P4/mcc (124)" pbc="T T T"
Ge -0.6351 -3.0672 -2.9105
Ge -0.2117 -1.0224 -0.9702
Ce 0.5624 -3.9264 -0.1726
Ce 4.0952 -3.3541 -1.5465
Ce 5.4704 -5.9629 0.9027
Ce 4.3867 -4.7486 4.0471
Ce 2.4929 -1.0511 0.5637
Ce 0.9320 -3.2857 3.2592
Ce 5.9477 -2.5140 1.3515
Ce 1.9376 -6.5352 2.2767
Pt 2.8047 -5.9670 -0.6051
Pt 3.2281 -3.9222 1.3352

Tell me which of them is the least stable. Sure, it is run i.